# AsOsRu2

A relaxed AsOsRu2 crystal (PBE, Alexandria via LeMat-Bulk).

```
data_AsOsRu2
_chemical_formula_sum 'As1 Os1 Ru2'
_symmetry_space_group_name_H-M 'P 4 m m'
_symmetry_Int_Tables_number 99
_cell_length_a 2.881
_cell_length_b 2.881
_cell_length_c 6.892
_cell_angle_alpha 90.00
_cell_angle_beta 90.00
_cell_angle_gamma 90.00
loop_
_symmetry_equiv_pos_as_xyz
'x,y,z'
'-y,x,z'
'-x,-y,z'
'y,-x,z'
'-x,y,z'
'y,x,z'
'x,-y,z'
'-y,-x,z'
loop_
_atom_site_label
_atom_site_type_symbol
_atom_site_fract_x
_atom_site_fract_y
_atom_site_fract_z
As1 As 0.000 0.000 0.000
Os1 Os 0.500 0.500 0.249
Ru1 Ru 0.000 0.000 0.502
Ru2 Ru 0.500 0.500 0.781
```

The density of states at the Fermi level is 0.936 states/eV/atom. The formation energy comes out at 0.2374 eV/atom. The volume comes out at 14.3 Å³/atom. Its crystal system is tetragonal.